[1]
This record from Alexandria via LeMat-Bulk describes an optimized crystal structure of KNaGa2Cl8. The functional is PBE.

```
KNaGa2Cl8
1.0
3.289 1.899 9.422
-3.289 1.899 9.422
0.000 -3.798 9.422
K Na Ga Cl
1 1 2 8
Direct
0.000 0.000 0.000
0.500 0.500 0.500
0.251 0.251 0.251
0.749 0.749 0.749
0.080 0.794 0.443
0.206 0.557 0.920
0.329 0.329 0.329
0.443 0.080 0.794
0.557 0.920 0.206
0.671 0.671 0.671
0.794 0.443 0.080
0.920 0.206 0.557
```

Summary:
formation energy without anion corrections: -1.430 eV per atom

[2]
This record from Alexandria via LeMat-Bulk describes an optimized crystal structure of TlZn2Ru. The functional is PBE.

```
TlZn2Ru
1.0
6.418 0.000 0.000
0.000 6.418 0.000
0.000 0.000 6.418
Tl Zn Ru
4 8 4
Direct
0.000 0.000 0.000
0.000 0.500 0.500
0.500 0.000 0.500
0.500 0.500 0.000
0.250 0.250 0.250
0.250 0.250 0.750
0.250 0.750 0.250
0.250 0.750 0.750
0.750 0.250 0.250
0.750 0.250 0.750
0.750 0.750 0.250
0.750 0.750 0.750
0.000 0.000 0.500
0.000 0.500 0.000
0.500 0.000 0.000
0.500 0.500 0.500
```

Summary:
formation enthalpy at 0 K: 39.9 kJ/mol of atoms

The calculation returns the following total moment values, one per record and in order: 0.00; 0.00 μB/cell.
The calculation returns the following ρ values, one per record and in order: 2.28; 10.96 g/cm3.
The calculation returns the following calculated total energy values, one per record and in order: -3.3670; -3.1335 eV per atom.